1.
Computed, not measured: crystalline K17Na2 at its relaxed geometry at the PBE level of DFT.

## Properties
Mass density: 0.82 g cm⁻³
E_form: 0.078 eV per atom
M_tot: 0.0 μB/f.u.
D(E_F): 0.8575 states/eV per atom

a b c (Å): 14.5408 14.5408 23.5900
angles (deg): 90.00 90.00 120.00
Space group R-3m (No. 166, hexagonal axes)
Inequivalent atoms, fractional coordinates:
K: 0.0000 0.0000 0.0897 x6
K: 0.0000 0.3201 0.0000 x18
K: 0.0002 0.5001 0.1538 x18
K: 0.0000 0.5000 0.5000 x9
Na: 0.0000 0.0000 0.2710 x6

***

2.
Computed, not measured: crystalline WCSe3 at its relaxed geometry at the PBE level of DFT.

## Properties
Mass density: 6.05 g cm⁻³
M_tot: 1.8 μB/f.u.
E above lowest polymorph: 0.1273 eV/atom
D(E_F): 0.9593 states/eV per atom
Uncorrected formation energy: 1.573 eV/atom

a b c (Å): 4.9148 4.9148 4.9148
angles (deg): 90.00 90.00 90.00
Space group Pm-3m (No. 221)
Inequivalent atoms, fractional coordinates:
W: 0.0000 0.0000 0.0000 x1
C: 0.5000 0.5000 0.5000 x1
Se: 0.0000 0.0000 0.5000 x3

***

3.
Computed, not measured: crystalline Ce5AgPb3 at its relaxed geometry at the PBE level of DFT.

## Properties
Mass density: 8.93 g cm⁻³
E_form: -0.351 eV per atom
M_tot: 6.7 μB/f.u.
D(E_F): 2.6345 states/eV per atom

a b c (Å): 9.6478 9.6478 6.5981
angles (deg): 90.00 90.00 120.00
Space group P6_3/mcm (No. 193)
Inequivalent atoms, fractional coordinates:
Ce: 0.0000 0.2845 0.2500 x6
Ce: 0.3333 0.6667 0.0000 x4
Ag: 0.0000 0.0000 0.0000 x2
Pb: 0.0000 0.3708 0.7500 x6

***

4.
Computed, not measured: crystalline NiMoOs2 at its relaxed geometry at the PBE level of DFT.

## Properties
Mass density: 15.85 g cm⁻³
E_form: 0.113 eV per atom
M_tot: 0.0 μB/f.u.
E above lowest polymorph: 0.0755 eV/atom
D(E_F): 0.9805 states/eV per atom

a b c (Å): 2.7169 3.7984 5.4323
angles (deg): 90.00 90.00 90.00
Space group Pmmm (No. 47)
Inequivalent atoms, fractional coordinates:
Ni: 0.0000 0.0000 0.0000 x1
Mo: 0.0000 0.0000 0.5000 x1
Os: 0.5000 0.5000 0.2351 x2

***

5.
Computed, not measured: crystalline LuGaNi2 at its relaxed geometry at the PBE level of DFT.

## Properties
Mass density: 10.09 g cm⁻³
E_form: -0.496 eV per atom
M_tot: 0.0 μB/f.u.
D(E_F): 0.6823 states/eV per atom

a b c (Å): 6.2010 6.2010 6.2010
angles (deg): 90.00 90.00 90.00
Space group Fm-3m (No. 225)
Inequivalent atoms, fractional coordinates:
Lu: 0.0000 0.0000 0.0000 x4
Ga: 0.0000 0.0000 0.5000 x4
Ni: 0.2500 0.2500 0.2500 x8

***

6.
Computed, not measured: crystalline NiPt2Se2 at its relaxed geometry at the PBE level of DFT.

## Properties
Mass density: 10.93 g cm⁻³
M_tot: 0.0 μB/f.u.
D(E_F): 0.8205 states/eV per atom
Uncorrected formation energy: 0.437 eV/atom

a b c (Å): 3.7425 3.7425 13.1591
angles (deg): 90.00 90.00 90.00
Space group I4/mmm (No. 139)
Inequivalent atoms, fractional coordinates:
Ni: 0.0000 0.0000 0.0000 x2
Pt: 0.0000 0.5000 0.2500 x4
Se: 0.0000 0.0000 0.3950 x4

***

7.
Computed, not measured: crystalline P2PdRuO at its relaxed geometry at the PBE level of DFT.

## Properties
Mass density: 5.80 g cm⁻³
M_tot: 0.2 μB/f.u.
E above lowest polymorph: 0.7263 eV/atom
D(E_F): 1.1591 states/eV per atom
Uncorrected formation energy: 0.887 eV/atom

a b c (Å): 4.6995 4.6995 3.6979
angles (deg): 90.00 90.00 90.00
Space group P4/mmm (No. 123)
Inequivalent atoms, fractional coordinates:
P: 0.0000 0.5000 0.0000 x2
Pd: 0.0000 0.0000 0.0000 x1
Ru: 0.5000 0.5000 0.5000 x1
O: 0.0000 0.0000 0.5000 x1

***

8.
Computed, not measured: crystalline Pm3Pr2NdS6 at its relaxed geometry at the PBE level of DFT.

## Properties
Mass density: 6.15 g cm⁻³
M_tot: 0.0 μB/f.u.
D(E_F): 0.4366 states/eV per atom
Uncorrected formation energy: -2.032 eV/atom

a b c (Å): 7.0244 12.2045 7.0403
angles (deg): 90.00 109.47 90.00
Space group C2/m (No. 12)
Inequivalent atoms, fractional coordinates:
Pm: 0.0000 0.0000 0.0000 x2
Pm: 0.0000 0.3325 0.0000 x4
Pr: 0.0000 0.1667 0.5000 x4
Nd: 0.0000 0.5000 0.5000 x2
S: 0.2461 0.5000 0.2441 x4
S: 0.2492 0.1658 0.2449 x8